# 1
Compound: NbSeF3
Source: Alexandria via LeMat-Bulk
Functional: meta-GGA SCAN
Structure: PBEsol geometry

* total magnetic moment: 0.00 μB per atom
* energy: -14.484 eV/atom
* DOS at the Fermi energy: 3.95 states/eV/cell
* volume: 73.2 Å³ per cell
* uncorrected formation energy: -1.7188 eV per atom

The structure in CIF format:
```
data_NbSeF3
_space_group_name_H-M_alt 'P m -3 m'
_space_group_IT_number 221
_space_group_name_Hall '-P 4 2 3'
_cell_length_a 4.183
_cell_length_b 4.183
_cell_length_c 4.183
_cell_angle_alpha 90.00
_cell_angle_beta 90.00
_cell_angle_gamma 90.00
loop_
_atom_site_label
_atom_site_fract_x
_atom_site_fract_y
_atom_site_fract_z
Nb1 0.000 0.000 0.000
Se1 0.500 0.500 0.500
F1 0.000 0.000 0.500
```



# 2
Compound: NbSi3F
Source: Alexandria via LeMat-Bulk
Functional: meta-GGA SCAN
Structure: PBEsol geometry

* total magnetic moment: 0.00 μB per atom
* energy: -12.824 eV/atom
* DOS at the Fermi energy: 7.14 states/eV/cell
* volume: 109.2 Å³ per cell
* uncorrected formation energy: 0.5191 eV per atom

The structure in CIF format:
```
data_NbSi3F
_space_group_name_H-M_alt 'P m -3 m'
_space_group_IT_number 221
_space_group_name_Hall '-P 4 2 3'
_cell_length_a 4.779
_cell_length_b 4.779
_cell_length_c 4.779
_cell_angle_alpha 90.00
_cell_angle_beta 90.00
_cell_angle_gamma 90.00
loop_
_atom_site_label
_atom_site_fract_x
_atom_site_fract_y
_atom_site_fract_z
Nb1 0.000 0.000 0.000
Si1 0.000 0.000 0.500
F1 0.500 0.500 0.500
```



# 3
Compound: NbSn3F
Source: Alexandria via LeMat-Bulk
Functional: meta-GGA SCAN
Structure: PBEsol geometry

* total magnetic moment: 0.01 μB per atom
* energy: -28.895 eV/atom
* DOS at the Fermi energy: 7.05 states/eV/cell
* volume: 145.2 Å³ per cell
* uncorrected formation energy: -0.0087 eV per atom

The structure in CIF format:
```
data_NbSn3F
_space_group_name_H-M_alt 'P m -3 m'
_space_group_IT_number 221
_space_group_name_Hall '-P 4 2 3'
_cell_length_a 5.256
_cell_length_b 5.256
_cell_length_c 5.256
_cell_angle_alpha 90.00
_cell_angle_beta 90.00
_cell_angle_gamma 90.00
loop_
_atom_site_label
_atom_site_fract_x
_atom_site_fract_y
_atom_site_fract_z
Nb1 0.000 0.000 0.000
Sn1 0.000 0.000 0.500
F1 0.500 0.500 0.500
```